# KCrRu2

A geometry-optimized KCrRu2 structure (GGA-PBEsol, Alexandria).

Calculated values
energy of formation = 17.4 kcal/mol of atoms
raw total energy = -7.178 eV per atom
magnetization = 0.00 μB/f.u.

Lattice parameters (Å, degrees): 2.7244 2.7244 8.8352 90.00 90.00 90.00
Space group P4/mmm (No. 123)
Asymmetric unit:
1 K 0.0000 0.0000 0.0000
2 Cr 0.0000 0.0000 0.5000
3 Ru 0.5000 0.5000 0.3182

=====

# KCr2Ru

A geometry-optimized KCr2Ru structure (GGA-PBEsol, Alexandria).

Calculated values
energy of formation = 28.6 kcal/mol of atoms
raw total energy = -6.709 eV per atom
magnetization = 0.08 μB/f.u.

Lattice parameters (Å, degrees): 2.7918 5.0503 9.5612 90.00 90.00 90.00
Space group Imm2 (No. 44)
Asymmetric unit:
1 K 0.0000 0.0000 0.0000
2 Cr 0.0000 0.0000 0.4945
3 Cr 0.0000 0.5000 0.2115
4 Ru 0.0000 0.5000 0.7827

=====

no.,density (g cm⁻³)
1,7.4
2,6.0